VASP calculation (GGA-PBE) on CoSbMo2 after structural relaxation.

Lattice parameters (Å, degrees): 8.7791 8.7791 8.7791 19.41 19.41 19.41
With the nearest neighbours (Å) after each atom.
Sites, in units of the cell vectors:
Mo1 0.0067 0.0067 0.0067  3 Co 2.62, 3 Sb 2.89
Sb1 0.2500 0.2500 0.2500  6 Mo 2.89, 6 Sb 2.96
Mo2 0.4933 0.4933 0.4933  3 Co 2.62, 3 Sb 2.89
Co1 0.7500 0.7500 0.7500  6 Mo 2.62

- formation energy without anion corrections (eV per atom) = 0.56
- symmetry = R-3m

***

VASP calculation (GGA-PBE) on Pr4Sm3Sc after structural relaxation.

Lattice parameters (Å, degrees): 3.6908 5.5366 13.9078 101.48 97.59 90.00
With the nearest neighbours (Å) after each atom.
Sites, in units of the cell vectors:
Pr1 0.5966 0.5959 0.1918  2 Sc 3.18, 1 Pr 3.33, 4 Sm 3.55
Pr2 0.7176 0.7190 0.4380  5 Pr 3.33-3.72
Sm1 0.1412 0.1415 0.2829  9 Pr 3.55-3.93, 2 Sm 3.69
Sm2 0.5000 0.0000 0.0000  4 Sc 3.33, 2 Sm 3.69
Sm3 0.8588 0.8585 0.7171  9 Pr 3.55-3.93, 2 Sm 3.69
Pr3 0.2824 0.2810 0.5620  5 Pr 3.33-3.72
Sc1 0.0000 0.5000 0.0000  4 Pr 3.18, 4 Sm 3.33
Pr4 0.4034 0.4041 0.8082  2 Sc 3.18, 1 Pr 3.33, 4 Sm 3.55

- excess energy over the best structure of this formula in the dataset (meV per atom) = 93
- symmetry = C2/m

***

VASP calculation (GGA-PBE) on Pr4P2SeS after structural relaxation.

Lattice parameters (Å, degrees): 5.9318 5.9318 7.2802 114.04 114.04 90.00
With the nearest neighbours (Å) after each atom.
Sites, in units of the cell vectors:
P1 0.0000 0.0000 0.0000  6 Pr 2.88-2.97
P2 0.2500 0.7500 0.5000  6 Pr 2.92-2.97
Pr1 0.2417 0.2417 0.4833  3 P 2.88-2.97, 2 S 2.97, 1 Se 3.07
S1 0.7500 0.2500 0.5000  6 Pr 2.97-3.03
Pr2 0.7583 0.7583 0.5167  3 P 2.88-2.97, 2 S 2.97, 1 Se 3.07
Pr3 0.0048 0.5048 0.0097  3 P 2.92-2.97, 2 Se 2.97, 1 S 3.03
Pr4 0.4952 0.9952 0.9903  3 P 2.92-2.97, 2 Se 2.97, 1 S 3.03
Se1 0.5000 0.5000 0.0000  6 Pr 2.97-3.07

- formation energy without anion corrections (eV per atom) = -1.79
- symmetry = I-4m2

***

VASP calculation (GGA-PBE) on Rb2NaScBr6 after structural relaxation.

Lattice parameters (Å, degrees): 7.8775 7.8775 7.8775 60.00 60.00 60.00
With the nearest neighbours (Å) after each atom.
Sites, in units of the cell vectors:
Br1 0.2387 0.7613 0.2387  1 Sc 2.66, 1 Na 2.91
Rb1 0.2500 0.2500 0.2500  12 Br 3.94
Br2 0.2387 0.2387 0.7613  1 Sc 2.66, 1 Na 2.91
Br3 0.2387 0.7613 0.7613  1 Sc 2.66, 1 Na 2.91
Br4 0.7613 0.2387 0.7613  1 Sc 2.66, 1 Na 2.91
Rb2 0.7500 0.7500 0.7500  12 Br 3.94
Sc1 0.0000 0.0000 0.0000  6 Br 2.66
Br5 0.7613 0.2387 0.2387  1 Sc 2.66, 1 Na 2.91
Br6 0.7613 0.7613 0.2387  1 Sc 2.66, 1 Na 2.91
Na1 0.5000 0.5000 0.5000  6 Br 2.91

- formation energy without anion corrections (eV per atom) = -1.72
- symmetry = Fm-3m

***

VASP calculation (GGA-PBE) on Rb2OsRuF6 after structural relaxation.

Lattice parameters (Å, degrees): 6.2190 6.2190 6.2139 59.97 59.97 90.00
With the nearest neighbours (Å) after each atom.
Sites, in units of the cell vectors:
F1 0.7633 0.2367 0.0000  1 Os 2.08, 1 Ru 2.32
Os1 0.0000 0.0000 0.0000  6 F 2.08
F2 0.7630 0.7630 0.4740  1 Os 2.08, 1 Ru 2.31
F3 0.2370 0.2370 0.5260  1 Os 2.08, 1 Ru 2.31
F4 0.2367 0.7633 0.0000  1 Os 2.08, 1 Ru 2.32
Rb1 0.2500 0.7500 0.5000  12 F 3.11
Rb2 0.7500 0.2500 0.5000  12 F 3.11
Ru1 0.5000 0.5000 0.0000  6 F 2.31-2.32
F5 0.2367 0.2367 0.0000  1 Os 2.08, 1 Ru 2.32
F6 0.7633 0.7633 0.0000  1 Os 2.08, 1 Ru 2.32

- formation energy without anion corrections (eV per atom) = -1.54
- symmetry = I4/mmm

***

VASP calculation (GGA-PBE) on LiV3B after structural relaxation.

Lattice parameters (Å, degrees): 3.9238 3.9238 3.9238 90.00 90.00 90.00
With the nearest neighbours (Å) after each atom.
Sites, in units of the cell vectors:
V1 0.5000 0.0000 0.0000  2 Li 1.96
B1 0.5000 0.5000 0.5000  12 V 2.77
V2 0.0000 0.0000 0.5000  2 Li 1.96
Li1 0.0000 0.0000 0.0000  6 V 1.96
V3 0.0000 0.5000 0.0000  2 Li 1.96

- excess energy over the best structure of this formula in the dataset (meV per atom) = 1194
- symmetry = Pm-3m

***

VASP calculation (GGA-PBE) on Ac3Sn4Ir2 after structural relaxation.

Lattice parameters (Å, degrees): 4.6774 6.5295 9.9740 65.35 76.44 69.01
With the nearest neighbours (Å) after each atom.
Sites, in units of the cell vectors:
Ir1 0.6077 0.0636 0.7210  3 Sn 2.67-2.69
Ir2 0.3923 0.9364 0.2790  3 Sn 2.67-2.69
Sn1 0.2602 0.3858 0.0939  1 Ir 2.67, 2 Sn 2.98
Ac1 0.3239 0.7207 0.6314  3 Ir 3.18-3.45, 7 Sn 3.42-3.54
Sn2 0.7398 0.6142 0.9061  1 Ir 2.67, 2 Sn 2.98
Sn3 0.0349 0.2910 0.6392  2 Ir 2.69, 1 Sn 2.96
Sn4 0.9651 0.7090 0.3608  2 Ir 2.69, 1 Sn 2.96
Ac2 0.0000 0.0000 0.0000  8 Sn 3.29-3.66, 4 Ir 3.49
Ac3 0.6761 0.2793 0.3686  3 Ir 3.18-3.45, 7 Sn 3.42-3.54

- symmetry = C2/m

***

VASP calculation (GGA-PBE) on ErMnSi3Os after structural relaxation.

Lattice parameters (Å, degrees): 5.3753 7.5533 6.5027 125.51 90.00 90.00
With the nearest neighbours (Å) after each atom.
Sites, in units of the cell vectors:
Os1 0.2500 0.4519 0.9037  5 Si 2.22-2.44
Si1 0.0000 0.7607 0.0000  2 Mn 2.30, 2 Os 2.44
Si2 0.7500 0.7579 0.5159  1 Mn 2.10, 1 Os 2.22
Mn1 0.7500 0.9561 0.9123  5 Si 2.10-2.30
Si3 0.5000 0.2393 0.0000  2 Mn 2.30, 2 Os 2.44
Mn2 0.2500 0.0439 0.0877  5 Si 2.10-2.30
Si4 0.0000 0.2393 0.0000  2 Mn 2.30, 2 Os 2.44
Er1 0.7500 0.2417 0.4835  2 Si 2.69
Si5 0.5000 0.7607 0.0000  2 Mn 2.30, 2 Os 2.44
Si6 0.2500 0.2421 0.4841  1 Mn 2.10, 1 Os 2.22
Os2 0.7500 0.5481 0.0963  5 Si 2.22-2.44
Er2 0.2500 0.7583 0.5165  2 Si 2.69

- formation energy without anion corrections (eV per atom) = -0.26
- symmetry = Cmcm

***

VASP calculation (GGA-PBE) on RbScTl after structural relaxation.

Lattice parameters (Å, degrees): 5.0561 5.0561 8.9218 90.00 90.00 90.00
With the nearest neighbours (Å) after each atom.
Sites, in units of the cell vectors:
Rb1 0.5000 0.0000 0.1368  5 Tl 3.92-4.06, 4 Sc 4.11, 4 Rb 4.33
Tl1 0.0000 0.5000 0.3180  4 Sc 3.00
Sc1 0.0000 0.0000 0.5000  4 Tl 3.00
Sc2 0.5000 0.5000 0.5000  4 Tl 3.00
Tl2 0.5000 0.0000 0.6820  4 Sc 3.00
Rb2 0.0000 0.5000 0.8632  5 Tl 3.92-4.06, 4 Sc 4.11, 4 Rb 4.33

- symmetry = P4/nmm

***

VASP calculation (GGA-PBE) on Ba2Na5Hg12 after structural relaxation.

Lattice parameters (Å, degrees): 8.2804 8.2804 8.2804 78.28 78.28 78.28
With the nearest neighbours (Å) after each atom.
Sites, in units of the cell vectors:
Ba1 0.3439 0.3439 0.3439  12 Hg 3.70-3.94
Hg1 0.6365 0.6365 0.1389  2 Na 3.07, 4 Hg 3.17-3.18
Hg2 0.0000 0.7061 0.2939  4 Hg 3.07-3.18, 2 Na 3.24
Hg3 0.1389 0.6365 0.6365  2 Na 3.07, 4 Hg 3.17-3.18
Na1 0.0000 0.5000 0.0000  8 Hg 3.07-3.24, 2 Na 3.27
Na2 0.0921 0.0921 0.0921  4 Na 3.13-3.27, 6 Hg 3.45
Ba2 0.6561 0.6561 0.6561  12 Hg 3.70-3.94
Hg4 0.8611 0.3635 0.3635  2 Na 3.07, 4 Hg 3.17-3.18
Hg5 0.2939 0.0000 0.7061  4 Hg 3.07-3.18, 2 Na 3.24
Na3 0.5000 0.0000 0.0000  8 Hg 3.07-3.24, 2 Na 3.27
Hg6 0.0000 0.2939 0.7061  4 Hg 3.07-3.18, 2 Na 3.24
Hg7 0.7061 0.0000 0.2939  4 Hg 3.07-3.18, 2 Na 3.24
Na4 0.0000 0.0000 0.5000  8 Hg 3.07-3.24, 2 Na 3.27
Hg8 0.3635 0.3635 0.8611  2 Na 3.07, 4 Hg 3.17-3.18
Hg9 0.3635 0.8611 0.3635  2 Na 3.07, 4 Hg 3.17-3.18
Hg10 0.6365 0.1389 0.6365  2 Na 3.07, 4 Hg 3.17-3.18
Hg11 0.7061 0.2939 0.0000  4 Hg 3.07-3.18, 2 Na 3.24
Na5 0.9079 0.9079 0.9079  4 Na 3.13-3.27, 6 Hg 3.45
Hg12 0.2939 0.7061 0.0000  4 Hg 3.07-3.18, 2 Na 3.24

- symmetry = R-3m

***

VASP calculation (GGA-PBE) on LaW2I after structural relaxation.

Lattice parameters (Å, degrees): 4.2194 4.2194 11.3358 79.27 79.27 90.00
With the nearest neighbours (Å) after each atom.
Sites, in units of the cell vectors:
La1 0.7500 0.2500 0.5000  4 I 2.98, 4 W 3.22
W1 0.3750 0.4384 0.7500  2 W 2.63
W2 0.1884 0.6250 0.2500  2 W 2.63
I1 0.2500 0.7500 0.5000  4 La 2.98, 4 W 3.03
W3 0.5616 0.1250 0.2500  2 W 2.63
La2 0.0000 0.0000 0.0000  4 I 2.98, 4 W 3.22
W4 0.8750 0.8116 0.7500  2 W 2.63
I2 0.5000 0.5000 0.0000  4 La 2.98, 4 W 3.03

- formation energy without anion corrections (eV per atom) = 1.04
- excess energy over the best structure of this formula in the dataset (meV per atom) = 0
- symmetry = I-42d

***

VASP calculation (GGA-PBE) on BiI3Br after structural relaxation.

Lattice parameters (Å, degrees): 5.9598 5.9598 5.9598 90.00 90.00 90.00
With the nearest neighbours (Å) after each atom.
Sites, in units of the cell vectors:
Bi1 0.5000 0.5000 0.5000  12 I 4.21
I1 0.0000 0.5000 0.0000  2 Br 2.98
I2 0.0000 0.0000 0.5000  2 Br 2.98
Br1 0.0000 0.0000 0.0000  6 I 2.98
I3 0.5000 0.0000 0.0000  2 Br 2.98

- formation energy without anion corrections (eV per atom) = 0.54
- excess energy over the best structure of this formula in the dataset (meV per atom) = 910
- symmetry = Pm-3m

***

no.,total DFT energy (no corrections) (eV per atom)
1,-7.667
2,-4.810
3,-6.483
4,-3.678
5,-4.902
6,-5.700
7,-5.750
8,-7.133
9,-3.168
10,-1.024
11,-7.053
12,-1.504